i:
Below is Ce2HoPd after structural relaxation, with properties calculated at the PBE level.

Unit cell a=3.717 b=3.717 c=7.750 alpha=90.00 beta=90.00 gamma=90.00
Space group P4/mmm (No. 123)
Asymmetric unit:
Ce1 0.000 0.000 0.200 (multiplicity 2)
Ho1 0.500 0.500 0.500 (multiplicity 1)
Pd1 0.500 0.500 0.000 (multiplicity 1)

Results
Density (g/cm³): 8.55
Magnetization (μB/cell): 1.46



ii:
Below is Ce2HoPd after structural relaxation, with properties calculated at the PBE level.

Unit cell a=5.2236 b=5.2236 c=12.8798 alpha=90.00 beta=90.00 gamma=120.00
Space group R-3m (No. 166, hexagonal axes)
Asymmetric unit:
Ce1 0.0000 0.0000 0.2495 (multiplicity 6)
Ho1 0.0000 0.0000 0.0000 (multiplicity 3)
Pd1 0.0000 0.0000 0.5000 (multiplicity 3)

Results
Density (g/cm³): 9.03
Magnetization (μB/cell): 5.47



Relative energies with respect to the most stable structure, expressed in meV per atom: i 0; ii 209.



i:
Below is CeHoPd4 after structural relaxation, with properties calculated at the PBE level.

Unit cell a=4.184 b=19.749 c=5.781 alpha=90.00 beta=90.00 gamma=90.00
Space group Cmcm (No. 63)
Asymmetric unit:
Ce1 0.000 0.079 0.250 (multiplicity 4)
Ho1 0.000 0.225 0.750 (multiplicity 4)
Pd1 0.000 0.074 0.750 (multiplicity 4)
Pd2 0.000 0.351 0.010 (multiplicity 8)
Pd3 0.000 0.500 0.000 (multiplicity 4)

Results
Density (g/cm³): 10.16
Magnetization (μB/cell): 2.03



ii:
Below is CeHoPd4 after structural relaxation, with properties calculated at the PBE level.

Unit cell a=7.731 b=7.731 c=7.731 alpha=90.00 beta=90.00 gamma=90.00
Space group F-43m (No. 216)
Asymmetric unit:
Ce1 0.000 0.000 0.000 (multiplicity 4)
Ho1 0.250 0.250 0.750 (multiplicity 4)
Pd1 0.125 0.125 0.375 (multiplicity 16)

Results
Density (g/cm³): 10.50
Magnetization (μB/cell): 4.05



Relative energies with respect to the most stable structure, expressed in meV per atom: i 0; ii 83.



i:
Below is CeHoPdPt after structural relaxation, with properties calculated at the PBE level.

Unit cell a=4.576 b=3.739 c=10.635 alpha=90.00 beta=90.00 gamma=90.00
Space group Amm2 (No. 38)
Asymmetric unit:
Ce1 0.000 0.000 0.000 (multiplicity 2)
Ho1 0.500 0.000 0.273 (multiplicity 2)
Pd1 0.500 0.000 0.547 (multiplicity 2)
Pt1 0.000 0.000 0.727 (multiplicity 2)

Results
Density (g/cm³): 11.07
Magnetization (μB/cell): 1.31



ii:
Below is CeHoPdPt after structural relaxation, with properties calculated at the PBE level.

Unit cell a=7.069 b=7.069 c=7.069 alpha=90.00 beta=90.00 gamma=90.00
Space group F-43m (No. 216)
Asymmetric unit:
Ce1 0.000 0.000 0.000 (multiplicity 4)
Ho1 0.000 0.000 0.500 (multiplicity 4)
Pd1 0.250 0.250 0.250 (multiplicity 4)
Pt1 0.250 0.250 0.750 (multiplicity 4)

Results
Density (g/cm³): 11.40
Magnetization (μB/cell): 2.79



Relative energies with respect to the most stable structure, expressed in meV per atom: i 0; ii 83.



i:
Below is CeHoPdRh after structural relaxation, with properties calculated at the PBE level.

Unit cell a=6.999 b=6.999 c=6.999 alpha=90.00 beta=90.00 gamma=90.00
Space group F-43m (No. 216)
Asymmetric unit:
Ce1 0.000 0.000 0.000 (multiplicity 4)
Ho1 0.000 0.000 0.500 (multiplicity 4)
Pd1 0.250 0.250 0.250 (multiplicity 4)
Rh1 0.250 0.250 0.750 (multiplicity 4)

Results
Density (g/cm³): 9.96
Magnetization (μB/cell): 3.23



ii:
Below is CeHoPdRh after structural relaxation, with properties calculated at the PBE level.

Unit cell a=4.183 b=3.784 c=11.179 alpha=90.00 beta=90.00 gamma=90.00
Space group Amm2 (No. 38)
Asymmetric unit:
Ce1 0.000 0.000 0.000 (multiplicity 2)
Ho1 0.500 0.000 0.276 (multiplicity 2)
Pd1 0.000 0.000 0.721 (multiplicity 2)
Rh1 0.500 0.000 0.536 (multiplicity 2)

Results
Density (g/cm³): 9.66
Magnetization (μB/cell): 0.34



Relative energies with respect to the most stable structure, expressed in meV per atom: i 96; ii 0.



i:
Below is CePmHo4 after structural relaxation, with properties calculated at the PBE level.

Unit cell a=17.179 b=3.566 c=6.196 alpha=90.00 beta=96.88 gamma=90.00
Space group C2/m (No. 12)
Asymmetric unit:
Ce1 0.000 0.000 0.000 (multiplicity 2)
Pm1 0.000 0.500 0.500 (multiplicity 2)
Ho1 0.166 0.500 0.891 (multiplicity 4)
Ho2 0.168 0.000 0.386 (multiplicity 4)

Results
Density (g/cm³): 8.33
Magnetization (μB/cell): 1.53



ii:
Below is CePmHo4 after structural relaxation, with properties calculated at the PBE level.

Unit cell a=6.535 b=11.406 c=10.373 alpha=90.00 beta=90.00 gamma=90.00
Space group Cmcm (No. 63)
Asymmetric unit:
Ce1 0.000 0.000 0.000 (multiplicity 4)
Pm1 0.000 0.170 0.250 (multiplicity 4)
Ho1 0.000 0.339 0.568 (multiplicity 8)
Ho2 0.244 0.410 0.250 (multiplicity 8)

Results
Density (g/cm³): 8.12
Magnetization (μB/cell): 6.62



Relative energies with respect to the most stable structure, expressed in meV per atom: i 0; ii 223.



i:
Below is CePmHo2 after structural relaxation, with properties calculated at the PBE level.

Unit cell a=3.549 b=3.549 c=9.973 alpha=90.00 beta=90.00 gamma=90.00
Space group P4/mmm (No. 123)
Asymmetric unit:
Ce1 0.000 0.000 0.000 (multiplicity 1)
Pm1 0.000 0.000 0.500 (multiplicity 1)
Ho1 0.500 0.500 0.241 (multiplicity 2)

Results
Density (g/cm³): 8.13
Magnetization (μB/cell): 0.64



ii:
Below is CePmHo2 after structural relaxation, with properties calculated at the PBE level.

Unit cell a=3.5518 b=3.5518 c=34.4292 alpha=90.00 beta=90.00 gamma=120.00
Space group R3m (No. 160, hexagonal axes)
Asymmetric unit:
Ce1 0.0000 0.0000 0.0000 (multiplicity 3)
Pm1 0.0000 0.0000 0.8342 (multiplicity 3)
Ho1 0.0000 0.0000 0.4146 (multiplicity 3)
Ho2 0.0000 0.0000 0.5857 (multiplicity 3)

Results
Density (g/cm³): 8.14
Magnetization (μB/cell): 1.60



iii:
Below is CePmHo2 after structural relaxation, with properties calculated at the PBE level.

Unit cell a=8.018 b=8.018 c=8.018 alpha=90.00 beta=90.00 gamma=90.00
Space group Fm-3m (No. 225)
Asymmetric unit:
Ce1 0.000 0.000 0.000 (multiplicity 4)
Pm1 0.000 0.000 0.500 (multiplicity 4)
Ho1 0.250 0.250 0.250 (multiplicity 8)

Results
Density (g/cm³): 7.92
Magnetization (μB/cell): 3.34



Relative energies with respect to the most stable structure, expressed in meV per atom: i 9; ii 0; iii 113.



i:
Below is CePmHo3 after structural relaxation, with properties calculated at the PBE level.

Unit cell a=6.264 b=6.718 c=8.409 alpha=102.69 beta=111.79 gamma=90.40
Space group P-1 (No. 2)
Asymmetric unit:
Ce1 0.015 0.450 0.187 (multiplicity 2)
Pm1 0.382 0.345 0.600 (multiplicity 2)
Ho1 0.176 0.951 0.200 (multiplicity 2)
Ho2 0.211 0.844 0.599 (multiplicity 2)
Ho3 0.415 0.246 0.000 (multiplicity 2)

Results
Density (g/cm³): 8.12
Magnetization (μB/cell): 1.86



ii:
Below is CePmHo3 after structural relaxation, with properties calculated at the PBE level.

Unit cell a=10.038 b=3.540 c=17.694 alpha=90.00 beta=90.00 gamma=90.00
Space group Pnma (No. 62)
Asymmetric unit:
Ce1 0.124 0.250 0.152 (multiplicity 4)
Pm1 0.132 0.250 0.550 (multiplicity 4)
Ho1 0.120 0.250 0.949 (multiplicity 4)
Ho2 0.124 0.250 0.349 (multiplicity 4)
Ho3 0.126 0.250 0.750 (multiplicity 4)

Results
Density (g/cm³): 8.24
Magnetization (μB/cell): 3.59



Relative energies with respect to the most stable structure, expressed in meV per atom: i 7; ii 0.



i:
Below is CePmHo6 after structural relaxation, with properties calculated at the PBE level.

Unit cell a=6.481 b=6.562 c=7.442 alpha=114.97 beta=115.64 gamma=90.11
Space group P-1 (No. 2)
Asymmetric unit:
Ce1 0.000 0.000 0.000 (multiplicity 1)
Pm1 0.500 0.000 0.000 (multiplicity 1)
Ho1 0.231 0.913 0.463 (multiplicity 2)
Ho2 0.249 0.500 0.000 (multiplicity 2)
Ho3 0.260 0.440 0.520 (multiplicity 2)

Results
Density (g/cm³): 8.40
Magnetization (μB/cell): 1.43



ii:
Below is CePmHo6 after structural relaxation, with properties calculated at the PBE level.

Unit cell a=5.005 b=5.005 c=9.996 alpha=90.00 beta=90.00 gamma=90.00
Space group P4/mmm (No. 123)
Asymmetric unit:
Ce1 0.000 0.000 0.000 (multiplicity 1)
Pm1 0.000 0.000 0.500 (multiplicity 1)
Ho1 0.000 0.500 0.247 (multiplicity 4)
Ho2 0.500 0.500 0.000 (multiplicity 1)
Ho3 0.500 0.500 0.500 (multiplicity 1)

Results
Density (g/cm³): 8.45
Magnetization (μB/cell): 0.84



Relative energies with respect to the most stable structure, expressed in meV per atom: i 174; ii 0.



i:
Below is CePm2Ho8 after structural relaxation, with properties calculated at the PBE level.

Unit cell a=19.017 b=6.915 c=5.572 alpha=90.00 beta=92.95 gamma=90.00
Space group C2/m (No. 12)
Asymmetric unit:
Ce1 0.000 0.000 0.000 (multiplicity 2)
Pm1 0.217 0.500 0.249 (multiplicity 4)
Ho1 0.047 0.500 0.237 (multiplicity 4)
Ho2 0.130 0.265 0.732 (multiplicity 8)
Ho3 0.185 0.000 0.233 (multiplicity 4)

Results
Density (g/cm³): 7.94
Magnetization (μB/cell): 2.39



ii:
Below is CePm2Ho8 after structural relaxation, with properties calculated at the PBE level.

Unit cell a=18.094 b=5.022 c=7.933 alpha=90.00 beta=105.22 gamma=90.00
Space group C2/m (No. 12)
Asymmetric unit:
Ce1 0.000 0.000 0.000 (multiplicity 2)
Pm1 0.228 0.500 0.637 (multiplicity 4)
Ho1 0.044 0.500 0.730 (multiplicity 4)
Ho2 0.090 0.000 0.453 (multiplicity 4)
Ho3 0.135 0.500 0.178 (multiplicity 4)
Ho4 0.180 0.000 0.907 (multiplicity 4)

Results
Density (g/cm³): 8.35
Magnetization (μB/cell): 2.30



Relative energies with respect to the most stable structure, expressed in meV per atom: i 142; ii 0.



i:
Below is CePmHo after structural relaxation, with properties calculated at the PBE level.

Unit cell a=3.517 b=6.135 c=8.739 alpha=90.32 beta=90.13 gamma=90.06
Space group P-1 (No. 2)
Asymmetric unit:
Ce1 0.249 0.246 0.002 (multiplicity 2)
Pm1 0.251 0.584 0.325 (multiplicity 2)
Ho1 0.249 0.917 0.670 (multiplicity 2)

Results
Density (g/cm³): 7.93
Magnetization (μB/cell): 1.03



ii:
Below is CePmHo after structural relaxation, with properties calculated at the PBE level.

Unit cell a=3.5349 b=3.5349 c=8.7050 alpha=90.00 beta=90.00 gamma=120.00
Space group P3m1 (No. 156)
Asymmetric unit:
Ce1 0.0000 0.0000 0.0000 (multiplicity 1)
Pm1 0.3333 0.6667 0.6681 (multiplicity 1)
Ho1 0.6667 0.3333 0.3238 (multiplicity 1)

Results
Density (g/cm³): 7.93
Magnetization (μB/cell): 0.57



iii:
Below is CePmHo after structural relaxation, with properties calculated at the PBE level.

Unit cell a=5.790 b=5.723 c=11.323 alpha=90.00 beta=92.01 gamma=90.00
Space group C2/m (No. 12)
Asymmetric unit:
Ce1 0.217 0.000 0.053 (multiplicity 4)
Pm1 0.235 0.500 0.243 (multiplicity 4)
Ho1 0.245 0.000 0.419 (multiplicity 4)

Results
Density (g/cm³): 7.97
Magnetization (μB/cell): 1.46



Relative energies with respect to the most stable structure, expressed in meV per atom: i 0; ii 24; iii 100.



i:
Below is Ce2PrHo after structural relaxation, with properties calculated at the PBE level.

Unit cell a=3.3945 b=3.3945 c=37.2410 alpha=90.00 beta=90.00 gamma=120.00
Space group R-3m (No. 166, hexagonal axes)
Asymmetric unit:
Ce1 0.0000 0.0000 0.0842 (multiplicity 6)
Pr1 0.0000 0.0000 0.5000 (multiplicity 3)
Ho1 0.0000 0.0000 0.0000 (multiplicity 3)

Results
Density (g/cm³): 7.86
Magnetization (μB/cell): 5.09



ii:
Below is Ce2PrHo after structural relaxation, with properties calculated at the PBE level.

Unit cell a=3.5254 b=3.5254 c=34.9486 alpha=90.00 beta=90.00 gamma=120.00
Space group R3m (No. 160, hexagonal axes)
Asymmetric unit:
Ce1 0.0000 0.0000 0.0000 (multiplicity 3)
Ce2 0.0000 0.0000 0.1621 (multiplicity 3)
Pr1 0.0000 0.0000 0.5792 (multiplicity 3)
Ho1 0.0000 0.0000 0.7481 (multiplicity 3)

Results
Density (g/cm³): 7.76
Magnetization (μB/cell): 4.97



iii:
Below is Ce2PrHo after structural relaxation, with properties calculated at the PBE level.

Unit cell a=3.498 b=3.498 c=10.248 alpha=90.00 beta=90.00 gamma=90.00
Space group P4/mmm (No. 123)
Asymmetric unit:
Ce1 0.000 0.000 0.245 (multiplicity 2)
Pr1 0.500 0.500 0.500 (multiplicity 1)
Ho1 0.500 0.500 0.000 (multiplicity 1)

Results
Density (g/cm³): 7.76
Magnetization (μB/cell): 1.60



iv:
Below is Ce2PrHo after structural relaxation, with properties calculated at the PBE level.

Unit cell a=4.935 b=4.935 c=5.137 alpha=90.00 beta=90.00 gamma=90.00
Space group P4/mmm (No. 123)
Asymmetric unit:
Ce1 0.000 0.500 0.000 (multiplicity 2)
Pr1 0.000 0.000 0.500 (multiplicity 1)
Ho1 0.500 0.500 0.500 (multiplicity 1)

Results
Density (g/cm³): 7.78
Magnetization (μB/cell): 1.67



Relative energies with respect to the most stable structure, expressed in meV per atom: i 146; ii 0; iii 15; iv 7.